{
  "formula": "KSr2PbF",
  "functional": "PBE",
  "state": "relaxed",
  "e_form_raw_kcal_per_mol_atoms": -30.55,
  "lattice_angstrom": [[5.4276, 0.0000, 0.0000], [0.0000, 5.4276, 0.0000], [0.0000, 0.0000, 5.1574]],
  "species": ["Pb", "Sr", "Sr", "K", "F"],
  "frac_coords": [[0.5000, 0.5000, 0.5000], [0.0000, 0.5000, 0.0000], [0.5000, 0.0000, 0.0000], [0.0000, 0.0000, 0.5000], [0.0000, 0.0000, 0.0000]]
}